14
Lattice="5.803 0.000 0.000 -2.901 5.025 0.000 0.000 0.000 7.611" Properties=species:S:1:pos:R:3 comment="GGA-PBE Ba3Zn2IrO8, optimized geometry" raw_formation_energy_ev_per_atom=-1.702 total_energy_ev_per_atom=-5.763 dos_ef_per_ev_atom=0.3589 pbc="T T T"
Ba 0.000 3.350 4.976
Ba 2.901 1.675 2.635
Ba 0.000 0.000 0.000
Zn 0.000 3.350 1.621
Zn 2.901 1.675 5.990
Ir 0.000 0.000 3.805
O 0.000 3.350 7.408
O 2.901 1.675 0.203
O -1.531 4.234 2.630
O 4.432 0.791 4.981
O 0.000 1.582 2.630
O 2.901 3.443 4.981
O 1.531 4.234 2.630
O 1.370 0.791 4.981